A relaxed structure of Ho3Mg3Tl2Hg. Source: OQMD, functional GGA-PBE.

Cell: 7.5943 7.5943 4.4251 Å, 90.00 90.00 120.00°
Closest atoms and distances in Å follow each position.
Sites, in units of the cell vectors:
1 Ho 0.0000 0.5806 0.0000  4 Tl 3.17, 1 Hg 3.18, 6 Mg 3.40-3.54
2 Ho 0.4194 0.4194 0.0000  4 Tl 3.17, 1 Hg 3.18, 6 Mg 3.40-3.54
3 Ho 0.5806 0.0000 0.0000  4 Tl 3.17, 1 Hg 3.18, 6 Mg 3.40-3.54
4 Mg 0.0000 0.2408 0.5000  2 Hg 2.87, 2 Tl 2.95, 2 Mg 3.17
5 Mg 0.2408 0.0000 0.5000  2 Hg 2.87, 2 Tl 2.95, 2 Mg 3.17
6 Mg 0.7592 0.7592 0.5000  2 Hg 2.87, 2 Tl 2.95, 2 Mg 3.17
7 Tl 0.3333 0.6667 0.5000  3 Mg 2.95, 6 Ho 3.17
8 Tl 0.6667 0.3333 0.5000  3 Mg 2.95, 6 Ho 3.17
9 Hg 0.0000 0.0000 0.0000  6 Mg 2.87, 3 Ho 3.18

Properties
For the final energy, the calculation gives -2.96 eV/atom. Its space-group type is No. 189.

***

A relaxed structure of Tm3Hf3Bi2Pt. Source: OQMD, functional GGA-PBE.

Cell: 7.9640 7.9640 4.0814 Å, 90.00 90.00 120.00°
Closest atoms and distances in Å follow each position.
Sites, in units of the cell vectors:
1 Tm 0.0000 0.6077 0.0000  1 Pt 3.12, 4 Bi 3.19, 4 Hf 3.40
2 Tm 0.3923 0.3923 0.0000  1 Pt 3.12, 4 Bi 3.19, 4 Hf 3.40
3 Tm 0.6077 0.0000 0.0000  1 Pt 3.12, 4 Bi 3.19, 4 Hf 3.40
4 Hf 0.0000 0.2276 0.5000  2 Pt 2.73
5 Hf 0.2276 0.0000 0.5000  2 Pt 2.73
6 Hf 0.7724 0.7724 0.5000  2 Pt 2.73
7 Bi 0.3333 0.6667 0.5000  3 Hf 3.16, 6 Tm 3.19
8 Bi 0.6667 0.3333 0.5000  3 Hf 3.16, 6 Tm 3.19
9 Pt 0.0000 0.0000 0.0000  6 Hf 2.73

Properties
For the final energy, the calculation gives -6.95 eV/atom. Its space-group type is No. 189.

***

> The highest final energy belongs to which entry?

Ho3Mg3Tl2Hg

***

Repeat the second record exactly.
A relaxed structure of Tm3Hf3Bi2Pt. Source: OQMD, functional GGA-PBE.

Cell: 7.9640 7.9640 4.0814 Å, 90.00 90.00 120.00°
Closest atoms and distances in Å follow each position.
Sites, in units of the cell vectors:
1 Tm 0.0000 0.6077 0.0000  1 Pt 3.12, 4 Bi 3.19, 4 Hf 3.40
2 Tm 0.3923 0.3923 0.0000  1 Pt 3.12, 4 Bi 3.19, 4 Hf 3.40
3 Tm 0.6077 0.0000 0.0000  1 Pt 3.12, 4 Bi 3.19, 4 Hf 3.40
4 Hf 0.0000 0.2276 0.5000  2 Pt 2.73
5 Hf 0.2276 0.0000 0.5000  2 Pt 2.73
6 Hf 0.7724 0.7724 0.5000  2 Pt 2.73
7 Bi 0.3333 0.6667 0.5000  3 Hf 3.16, 6 Tm 3.19
8 Bi 0.6667 0.3333 0.5000  3 Hf 3.16, 6 Tm 3.19
9 Pt 0.0000 0.0000 0.0000  6 Hf 2.73

Properties
For the final energy, the calculation gives -6.95 eV/atom. Its space-group type is No. 189.